# 1
Below is crystalline La2PRu at its relaxed geometry, with properties calculated at the PBEsol level.

Magnetization (μB per formula unit): 0.00
ρ (Mg/m³): 7.46
E_form (eV/atom): -0.81

abc: 4.1190 4.2024 5.6751
angles: 111.73 90.00 90.00
Last column: nearest neighbours and their distance in Å.
Atoms (fractional coordinates):
Ru1 0.5000 0.5600 0.1201  2 P 2.49
P1 0.0000 0.6920 0.3840  2 Ru 2.49
La1 0.5000 0.2672 0.5344  3 Ru 3.03-3.09, 4 P 3.05
La2 0.0000 0.9889 0.9778  3 P 3.00-3.13, 4 Ru 3.04

# 2
Below is crystalline LaPdCl2 at its relaxed geometry, with properties calculated at the PBEsol level.

Magnetization (μB per formula unit): 0.62
ρ (Mg/m³): 4.90
Formation energy (no corrections) (eV/atom): -0.5433
Distance to the lowest polymorph of the same formula (eV/atom): 0.471

abc: 4.0181 4.0181 8.0094
angles: 75.47 75.47 60.00
Last column: nearest neighbours and their distance in Å.
Atoms (fractional coordinates):
Cl1 0.8840 0.8840 0.3478  3 Pd 2.60, 1 La 2.67
Cl2 0.1160 0.1160 0.6522  3 Pd 2.60, 1 La 2.67
La1 0.0000 0.0000 0.0000  2 Cl 2.67
Pd1 0.5000 0.5000 0.5000  6 Cl 2.60

# 3
Below is crystalline K2Ag2As at its relaxed geometry, with properties calculated at the PBEsol level.

Magnetization (μB per formula unit): 0.00
ρ (Mg/m³): 4.33
E_form (eV/atom): 0.08

abc: 3.7230 3.7230 10.5454
angles: 100.17 100.17 90.00
Last column: nearest neighbours and their distance in Å.
Atoms (fractional coordinates):
Ag1 0.7500 0.2500 0.5000  4 Ag 2.63
Ag2 0.2500 0.7500 0.5000  4 Ag 2.63
As1 0.0000 0.0000 0.0000  8 K 3.35, 4 As 3.72
K1 0.6017 0.6017 0.2034  4 As 3.35, 4 Ag 3.56, 4 K 3.72
K2 0.3983 0.3983 0.7966  4 As 3.35, 4 Ag 3.56, 4 K 3.72